Density functional theory data (PBE+U) for Mo2Au2F after structural relaxation.

The space group is I4/mmm (No. 139) and the conventional cell measures 3.603, 3.603 and 14.346 Å, with angles of 90.00, 90.00 and 90.00 degrees. Symmetry generates all atoms from Mo at (0.000, 0.500, 0.250), Au at (0.000, 0.000, 0.099) and F at (0.000, 0.000, 0.500).

The value obtained for the calculated total energy is -18.62 eV per formula unit. The total magnetization is 0.0 μB/cell. For the polymorph energy (0 for the lowest one), the calculation gives 391 meV per atom. As for the density of states at the Fermi level: 3.03 states/eV/f.u.